Model w:
A plane-wave DFT calculation with GGA-PBE was carried out for AgHPdAu2 after structural relaxation.

abc: 4.1080 4.1080 4.2817
angles: 90.00 90.00 90.00
Closest atoms and distances in Å follow each position.
Sites, in units of the cell vectors:
Ag 0.0000 0.0000 0.0000  2 H 2.14
H 0.0000 0.0000 0.5000  4 Au 2.05, 2 Ag 2.14
Pd 0.5000 0.5000 0.0000  4 Ag 2.90, 8 Au 2.97
Au 0.0000 0.5000 0.5000  2 H 2.05
Au 0.5000 0.0000 0.5000  2 H 2.05

## Properties
As for the crystal system: tetragonal.

Model x:
A plane-wave DFT calculation with GGA-PBE was carried out for AgHPdAu2 after structural relaxation.

abc: 4.3578 4.3578 3.7991
angles: 90.00 90.00 90.00
Closest atoms and distances in Å follow each position.
Sites, in units of the cell vectors:
Ag 0.0000 0.0000 0.0000  8 Au 2.89, 4 Pd 3.08
H 0.5000 0.5000 0.5000  2 Pd 1.90
Pd 0.5000 0.5000 0.0000  2 H 1.90
Au 0.0000 0.5000 0.5000  2 H 2.18
Au 0.5000 0.0000 0.5000  2 H 2.18

## Properties
As for the crystal system: tetragonal.

model x is the most stable structure shown above.